Record 1
# VFeNiGe

An optimized crystal structure of VFeNiGe (PBE-GGA, the Alexandria database).

a b c (Å): 4.0986 4.0986 4.0986
angles (deg): 60.00 60.00 60.00
With the nearest neighbours (Å) after each atom.
Element x y z (fractional)
Ni1 0.2500 0.2500 0.2500  4 Ge 2.51, 4 V 2.51
Ge1 0.5000 0.5000 0.5000  4 Ni 2.51, 4 Fe 2.51
Fe1 0.7500 0.7500 0.7500  4 V 2.51, 4 Ge 2.51
V1 0.0000 0.0000 0.0000  4 Fe 2.51, 4 Ni 2.51

uncorrected energy	-28.71	eV per formula unit
SG	No. 216

Record 2
# V2FeNi7Ge2

An optimized crystal structure of V2FeNi7Ge2 (PBE-GGA, the Alexandria database).

a b c (Å): 3.5783 3.5783 12.5130
angles (deg): 73.36 73.36 89.91
With the nearest neighbours (Å) after each atom.
Element x y z (fractional)
V1 0.8227 0.8227 0.6769  6 Ni 2.40-2.64, 4 Ge 2.54
V2 0.1773 0.1773 0.3231  6 Ni 2.40-2.64, 4 Ge 2.54
Fe1 0.0000 0.0000 0.0000  12 Ni 2.51-2.53
Ni1 0.5000 0.5000 0.0000  8 Ni 2.51, 4 Fe 2.53
Ni2 0.2546 0.2546 0.5001  2 V 2.40, 4 Ni 2.48-2.58, 2 Ge 2.55
Ni3 0.7454 0.7454 0.4999  2 V 2.40, 4 Ni 2.48-2.58, 2 Ge 2.55
Ni4 0.8466 0.3466 0.1537  2 Ge 2.49, 6 Ni 2.51-2.53, 2 Fe 2.51, 2 V 2.64
Ni5 0.3466 0.8466 0.1537  2 Ge 2.49, 6 Ni 2.51-2.53, 2 Fe 2.51, 2 V 2.64
Ni6 0.6534 0.1534 0.8463  2 Ge 2.49, 6 Ni 2.51-2.53, 2 Fe 2.51, 2 V 2.64
Ni7 0.1534 0.6534 0.8463  2 Ge 2.49, 6 Ni 2.51-2.53, 2 Fe 2.51, 2 V 2.64
Ge1 0.6949 0.6949 0.3054  6 Ni 2.49-2.55, 4 V 2.54
Ge2 0.3051 0.3051 0.6946  6 Ni 2.49-2.55, 4 V 2.54

uncorrected energy	-77.66	eV per formula unit
SG	No. 65

Record 3
# FeNi2GeW

An optimized crystal structure of FeNi2GeW (PBE-GGA, the Alexandria database).

a b c (Å): 4.5789 4.4740 4.5789
angles (deg): 90.00 90.00 90.00
With the nearest neighbours (Å) after each atom.
Element x y z (fractional)
Ni1 0.0000 0.0000 0.5000  2 W 2.29
Ni2 0.5000 0.0000 0.0000  2 W 2.29
Ge1 0.5000 0.5000 0.5000  8 Ni 3.20, 4 Fe 3.24
Fe1 0.0000 0.5000 0.0000  2 W 2.24
W1 0.0000 0.0000 0.0000  2 Fe 2.24, 4 Ni 2.29

uncorrected energy	-30.31	eV per formula unit
SG	No. 123

Please write out number 3 again, unchanged.
# FeNi2GeW

An optimized crystal structure of FeNi2GeW (PBE-GGA, the Alexandria database).

a b c (Å): 4.5789 4.4740 4.5789
angles (deg): 90.00 90.00 90.00
With the nearest neighbours (Å) after each atom.
Element x y z (fractional)
Ni1 0.0000 0.0000 0.5000  2 W 2.29
Ni2 0.5000 0.0000 0.0000  2 W 2.29
Ge1 0.5000 0.5000 0.5000  8 Ni 3.20, 4 Fe 3.24
Fe1 0.0000 0.5000 0.0000  2 W 2.24
W1 0.0000 0.0000 0.0000  2 Fe 2.24, 4 Ni 2.29

uncorrected energy	-30.31	eV per formula unit
SG	No. 123